1.
This record from Alexandria describes TaFeMo2 after structural relaxation. The functional is GGA-PBE.

Values from the calculation:
ΔH_f (0 K) ... 0.54 eV/f.u.
E above lowest polymorph ... 164 meV/atom

a = 2.742 Å, b = 2.742 Å, c = 8.102 Å
α = 90.00°, β = 90.00°, γ = 90.00°
Space group P4mm (No. 99)
One atom of each set of equivalent atoms:
Ta 0.000 0.000 0.000 x1
Fe 0.500 0.500 0.229 x1
Mo 0.000 0.000 0.428 x1
Mo 0.500 0.500 0.709 x1



2.
This record from Alexandria describes AgW2 after structural relaxation. The functional is GGA-PBE.

Values from the calculation:
ΔH_f (0 K) ... 1.72 eV/f.u.
E above lowest polymorph ... 70 meV/atom

a = 2.691 Å, b = 2.691 Å, c = 13.706 Å
α = 90.00°, β = 90.00°, γ = 90.00°
Space group I4/mmm (No. 139)
One atom of each set of equivalent atoms:
Ag 0.000 0.000 0.000 x2
W 0.000 0.000 0.333 x4



3.
This record from Alexandria describes SiSb2Ru after structural relaxation. The functional is GGA-PBE.

Values from the calculation:
Energy relative to the elements, uncorrected ... 454.5 meV/atom

a = 6.241 Å, b = 7.610 Å, c = 3.249 Å
α = 90.00°, β = 90.00°, γ = 90.00°
Space group Cmmm (No. 65)
One atom of each set of equivalent atoms:
Si 0.000 0.000 0.000 x2
Sb 0.250 0.250 0.500 x4
Ru 0.000 0.500 0.000 x2



4.
This record from Alexandria describes Mo3P after structural relaxation. The functional is GGA-PBE.

Values from the calculation:
ΔH_f (0 K) ... -0.05 eV/f.u.
E above lowest polymorph ... 348 meV/atom

a = 4.676 Å, b = 5.062 Å, c = 5.015 Å
α = 90.00°, β = 90.00°, γ = 90.00°
Space group Pmmn (No. 59, origin choice 2)
One atom of each set of equivalent atoms:
Mo 0.250 0.000 0.168 x4
Mo 0.250 0.250 0.658 x2
P 0.250 0.750 0.665 x2